Record 1
# Al3NO3 PBEsol optimized geometry
data_Al3NO3
_chemical_formula_sum 'Al12 N4 O12'
_cell_length_a 5.677
_cell_length_b 5.625
_cell_length_c 8.013
_cell_angle_alpha 90.00
_cell_angle_beta 90.00
_cell_angle_gamma 90.00
_space_group_name_H-M_alt 'P n m a'
_space_group_IT_number 62
loop_
_space_group_symop_operation_xyz
'x,y,z'
'-x,-y,-z'
'-x+1/2,-y,z+1/2'
'x+1/2,y,-z+1/2'
'x+1/2,-y+1/2,-z+1/2'
'-x+1/2,y+1/2,z+1/2'
'-x,y+1/2,-z'
'x,-y+1/2,z'
loop_
_atom_site_label
_atom_site_type_symbol
_atom_site_fract_x
_atom_site_fract_y
_atom_site_fract_z
_atom_site_occupancy
Al1 Al 0.000 0.000 0.000 1
Al2 Al 0.007 0.250 0.382 1
Al3 Al 0.250 0.250 0.743 1
N1 N 0.227 0.750 0.008 1
O1 O 0.002 0.013 0.754 1
O2 O 0.240 0.250 0.987 1
# Spin magnetization: 0.0 μB/cell
# Total DFT energy (no corrections): -218.61 eV for the cell shown
# Fermi-level density of states: 0.00 states/eV per cell
# Polymorph energy (0 for the lowest one): 0.000 eV/atom
# E_form (uncorrected): -2.586 eV/atom

=====

Record 2
# RbSnC3 PBEsol optimized geometry
data_RbSnC3
_chemical_formula_sum 'Rb1 Sn1 C3'
_cell_length_a 4.459
_cell_length_b 4.459
_cell_length_c 4.459
_cell_angle_alpha 90.00
_cell_angle_beta 90.00
_cell_angle_gamma 90.00
_space_group_name_H-M_alt 'P m -3 m'
_space_group_IT_number 221
_space_group_name_Hall '-P 4 2 3'
loop_
_atom_site_label
_atom_site_type_symbol
_atom_site_fract_x
_atom_site_fract_y
_atom_site_fract_z
_atom_site_occupancy
Rb1 Rb 0.000 0.000 0.000 1
Sn1 Sn 0.500 0.500 0.500 1
C1 C 0.000 0.000 0.500 1
# Spin magnetization: 0.6 μB/cell
# Energy of formation: 4.026 eV per atom
# Total DFT energy (no corrections): -14.09 eV for the cell shown
# Fermi-level density of states: 4.67 states/eV per cell

=====

Record 3
# BTe2SN PBEsol optimized geometry
data_BTe2SN
_chemical_formula_sum 'B1 Te2 S1 N1'
_cell_length_a 5.490
_cell_length_b 5.490
_cell_length_c 3.252
_cell_angle_alpha 90.00
_cell_angle_beta 90.00
_cell_angle_gamma 90.00
_space_group_name_H-M_alt 'P 4/m m m'
_space_group_IT_number 123
_space_group_name_Hall '-P 4 2'
loop_
_atom_site_label
_atom_site_type_symbol
_atom_site_fract_x
_atom_site_fract_y
_atom_site_fract_z
_atom_site_occupancy
B1 B 0.000 0.000 0.000 1
Te1 Te 0.000 0.500 0.500 1
S1 S 0.500 0.500 0.500 1
N1 N 0.500 0.500 0.000 1
# Spin magnetization: 0.0 μB/cell
# Total DFT energy (no corrections): -19.66 eV for the cell shown
# Fermi-level density of states: 3.10 states/eV per cell
# Polymorph energy (0 for the lowest one): 1.085 eV/atom
# E_form (uncorrected): 1.463 eV/atom

=====

Record 4
# BaSrNdCu3O7 PBEsol optimized geometry
data_BaSrNdCu3O7
_chemical_formula_sum 'Ba1 Sr1 Nd1 Cu3 O7'
_cell_length_a 3.785
_cell_length_b 3.876
_cell_length_c 11.491
_cell_angle_alpha 90.00
_cell_angle_beta 90.00
_cell_angle_gamma 90.00
_space_group_name_H-M_alt 'P m m 2'
_space_group_IT_number 25
loop_
_space_group_symop_operation_xyz
'x,y,z'
'-x,-y,z'
'-x,y,z'
'x,-y,z'
loop_
_atom_site_label
_atom_site_type_symbol
_atom_site_fract_x
_atom_site_fract_y
_atom_site_fract_z
_atom_site_occupancy
Ba1 Ba 0.000 0.000 0.000 1
Sr1 Sr 0.000 0.000 0.641 1
Nd1 Nd 0.000 0.000 0.325 1
Cu1 Cu 0.500 0.500 0.170 1
Cu2 Cu 0.500 0.500 0.480 1
Cu3 Cu 0.500 0.500 0.819 1
O1 O 0.000 0.500 0.195 1
O2 O 0.000 0.500 0.457 1
O3 O 0.500 0.000 0.193 1
O4 O 0.500 0.000 0.460 1
O5 O 0.500 0.000 0.808 1
O6 O 0.500 0.500 0.658 1
O7 O 0.500 0.500 0.980 1
# Spin magnetization: 0.0 μB/cell
# Total DFT energy (no corrections): -82.74 eV for the cell shown
# Fermi-level density of states: 4.65 states/eV per cell
# E_form (uncorrected): -1.833 eV/atom

=====

Record 5
# ReRu2W PBEsol optimized geometry
data_ReRu2W
_chemical_formula_sum 'Re2 Ru4 W2'
_cell_length_a 5.447
_cell_length_b 7.664
_cell_length_c 2.725
_cell_angle_alpha 90.00
_cell_angle_beta 90.00
_cell_angle_gamma 90.00
_space_group_name_H-M_alt 'C m m m'
_space_group_IT_number 65
_space_group_name_Hall '-C 2 2'
loop_
_atom_site_label
_atom_site_type_symbol
_atom_site_fract_x
_atom_site_fract_y
_atom_site_fract_z
_atom_site_occupancy
Re1 Re 0.000 0.000 0.000 1
Ru1 Ru 0.250 0.250 0.500 1
W1 W 0.000 0.500 0.000 1
# Spin magnetization: 0.0 μB/cell
# Energy of formation: 0.031 eV per atom
# Total DFT energy (no corrections): -94.72 eV for the cell shown
# Fermi-level density of states: 7.93 states/eV per cell
# Polymorph energy (0 for the lowest one): 0.012 eV/atom

=====

Record 6
# Mg3TeS PBEsol optimized geometry
data_Mg3TeS
_chemical_formula_sum 'Mg3 Te1 S1'
_cell_length_a 4.955
_cell_length_b 4.955
_cell_length_c 4.955
_cell_angle_alpha 90.00
_cell_angle_beta 90.00
_cell_angle_gamma 90.00
_space_group_name_H-M_alt 'P m -3 m'
_space_group_IT_number 221
_space_group_name_Hall '-P 4 2 3'
loop_
_atom_site_label
_atom_site_type_symbol
_atom_site_fract_x
_atom_site_fract_y
_atom_site_fract_z
_atom_site_occupancy
Mg1 Mg 0.000 0.000 0.500 1
Te1 Te 0.500 0.500 0.500 1
S1 S 0.000 0.000 0.000 1
# Spin magnetization: 0.0 μB/cell
# Total DFT energy (no corrections): -15.03 eV for the cell shown
# Fermi-level density of states: 4.10 states/eV per cell
# E_form (uncorrected): -0.395 eV/atom

=====

Record 7
# La5Mg PBEsol optimized geometry
data_La5Mg
_chemical_formula_sum 'La5 Mg1'
_cell_length_a 3.660
_cell_length_b 3.660
_cell_length_c 14.579
_cell_angle_alpha 90.00
_cell_angle_beta 90.00
_cell_angle_gamma 90.00
_space_group_name_H-M_alt 'P 4/m m m'
_space_group_IT_number 123
_space_group_name_Hall '-P 4 2'
loop_
_atom_site_label
_atom_site_type_symbol
_atom_site_fract_x
_atom_site_fract_y
_atom_site_fract_z
_atom_site_occupancy
La1 La 0.000 0.000 0.000 1
La2 La 0.000 0.000 0.346 1
La3 La 0.500 0.500 0.176 1
Mg1 Mg 0.500 0.500 0.500 1
# Spin magnetization: 0.0 μB/cell
# Energy of formation: -0.023 eV per atom
# Total DFT energy (no corrections): -28.59 eV for the cell shown
# Fermi-level density of states: 8.43 states/eV per cell
# Polymorph energy (0 for the lowest one): 0.000 eV/atom

=====

Record 8
# MoP PBEsol optimized geometry
data_MoP
_chemical_formula_sum 'Mo1 P1'
_cell_length_a 3.2047
_cell_length_b 3.2047
_cell_length_c 3.1696
_cell_angle_alpha 90.00
_cell_angle_beta 90.00
_cell_angle_gamma 120.00
_space_group_name_H-M_alt 'P -6 m 2'
_space_group_IT_number 187
_space_group_name_Hall 'P -6 2'
loop_
_atom_site_label
_atom_site_type_symbol
_atom_site_fract_x
_atom_site_fract_y
_atom_site_fract_z
_atom_site_occupancy
Mo1 Mo 0.0000 0.0000 0.0000 1
P1 P 0.3333 0.6667 0.5000 1
# Spin magnetization: 0.0 μB/cell
# Energy of formation: -0.743 eV per atom
# Total DFT energy (no corrections): -19.05 eV for the cell shown
# Fermi-level density of states: 0.82 states/eV per cell

=====

Record 9
# CoBrCl PBEsol optimized geometry
data_CoBrCl
_chemical_formula_sum 'Co1 Br1 Cl1'
_cell_length_a 3.5138
_cell_length_b 3.5138
_cell_length_c 6.1270
_cell_angle_alpha 90.00
_cell_angle_beta 90.00
_cell_angle_gamma 120.00
_space_group_name_H-M_alt 'P 3 m 1'
_space_group_IT_number 156
loop_
_space_group_symop_operation_xyz
'x,y,z'
'-y,x-y,z'
'-x+y,-x,z'
'-y,-x,z'
'-x+y,y,z'
'x,x-y,z'
loop_
_atom_site_label
_atom_site_type_symbol
_atom_site_fract_x
_atom_site_fract_y
_atom_site_fract_z
_atom_site_occupancy
Co1 Co 0.0000 0.0000 0.0000 1
Br1 Br 0.3333 0.6667 0.7581 1
Cl1 Cl 0.6667 0.3333 0.2092 1
# Spin magnetization: 3.0 μB/cell
# Total DFT energy (no corrections): -12.67 eV for the cell shown
# Fermi-level density of states: 5.54 states/eV per cell
# Polymorph energy (0 for the lowest one): 0.000 eV/atom
# E_form (uncorrected): -0.351 eV/atom

=====

Record 10
# CuAu PBEsol optimized geometry
data_CuAu
_chemical_formula_sum 'Cu2 Au2'
_cell_length_a 2.7595
_cell_length_b 2.7595
_cell_length_c 8.7817
_cell_angle_alpha 90.00
_cell_angle_beta 90.00
_cell_angle_gamma 120.00
_space_group_name_H-M_alt 'P -3 m 1'
_space_group_IT_number 164
_space_group_name_Hall '-P 3 2"'
loop_
_atom_site_label
_atom_site_type_symbol
_atom_site_fract_x
_atom_site_fract_y
_atom_site_fract_z
_atom_site_occupancy
Cu1 Cu 0.3333 0.6667 0.3913 1
Au1 Au 0.3333 0.6667 0.8555 1
# Spin magnetization: 0.0 μB/cell
# Energy of formation: 0.056 eV per atom
# Total DFT energy (no corrections): -16.29 eV for the cell shown
# Fermi-level density of states: 1.30 states/eV per cell

=====

Q: Which value of total DFT energy (no corrections) does entry 10 give?
A: -16.29 eV for the cell shown

=====

Q: Which of these has the highest total DFT energy (no corrections)?
A: CoBrCl

=====

Q: Look up the Fermi-level density of states of the third one.
A: 3.10 states/eV per cell